Crystalline AlCuIBr3 at its relaxed geometry, computed with PBE.

Calculated values
Final energy   -3.094 eV/atom

Unit cell a=6.129 b=6.218 c=6.779 alpha=64.18 beta=63.35 gamma=89.69
Atoms (fractional coordinates):
Al1 0.242 0.743 0.504
Br1 0.152 0.641 0.250
Br2 0.353 0.410 0.750
Br3 0.887 0.839 0.752
Cu1 0.501 0.503 0.998
I1 0.615 0.115 0.246